Entry from Alexandria via LeMat-Bulk: crystalline Y2ErTmSe6 at its relaxed geometry (PBE).

Unit cell a=7.1649 b=7.1649 c=7.6691 alpha=62.15 beta=62.15 gamma=60.00
Positions (direct):
Y  0.5149  0.5148  0.4555
Y  0.0145  0.0145  0.9565
Er  0.8192  0.8193  0.5422
Tm  0.3197  0.3197  0.0409
Se  0.6056  0.2181  0.2531
Se  0.2181  0.9231  0.2531
Se  0.9232  0.6056  0.2531
Se  0.4214  0.7176  0.7536
Se  0.7176  0.1074  0.7536
Se  0.1074  0.4215  0.7536

Output
Energy   -61.40 eV/cell
M_tot   0.0 Bohr magnetons per cell
Formation energy without anion corrections   -1.85 eV per atom
SG   R3
Mass density   5.71 g/cm³


Entry from Alexandria via LeMat-Bulk: crystalline Y2ErTmSe4 at its relaxed geometry (PBE).

Unit cell a=4.0055 b=7.0884 c=7.0270 alpha=71.17 beta=90.00 gamma=90.00
Positions (direct):
Y  0.0000  0.0000  0.0000
Y  0.5000  0.0000  0.5000
Er  0.5000  0.5000  0.0000
Tm  0.0000  0.5000  0.5000
Se  0.0000  0.7443  0.7509
Se  0.0000  0.2557  0.2491
Se  0.5000  0.7436  0.2531
Se  0.5000  0.2564  0.7469

Output
Energy   -49.65 eV/cell
M_tot   0.0 Bohr magnetons per cell
Formation energy without anion corrections   -1.72 eV per atom
SG   P2/m
Mass density   7.30 g/cm³


Entry from Alexandria via LeMat-Bulk: crystalline YEr2Tm3Se6 at its relaxed geometry (PBE).

Unit cell a=4.0232 b=8.1011 c=9.0256 alpha=103.41 beta=102.88 gamma=90.00
Positions (direct):
Y  0.5000  0.0000  0.0000
Er  0.8341  0.6680  0.6683
Er  0.1659  0.3320  0.3317
Tm  0.5000  0.5000  0.0000
Tm  0.8346  0.1666  0.6693
Tm  0.1654  0.8334  0.3307
Se  0.3311  0.9170  0.6623
Se  0.6666  0.5846  0.3332
Se  0.6689  0.0830  0.3377
Se  0.9998  0.2548  0.9996
Se  0.0002  0.7452  0.0004
Se  0.3334  0.4154  0.6668

Output
Energy   -70.16 eV/cell
M_tot   0.0 Bohr magnetons per cell
Formation energy without anion corrections   -1.69 eV per atom
SG   C2/m
Mass density   8.37 g/cm³


Entry from Alexandria via LeMat-Bulk: crystalline Y2Er3TmSe6 at its relaxed geometry (PBE).

Unit cell a=4.0385 b=8.1315 c=9.0513 alpha=103.13 beta=102.89 gamma=90.00
Positions (direct):
Y  0.8320  0.6647  0.6639
Y  0.1680  0.3353  0.3361
Er  0.5000  0.5000  0.0000
Er  0.8312  0.1666  0.6623
Er  0.1688  0.8334  0.3377
Tm  0.5000  0.0000  0.0000
Se  0.3350  0.9207  0.6699
Se  0.6649  0.5861  0.3297
Se  0.6650  0.0793  0.3301
Se  0.9985  0.2476  0.9970
Se  0.0015  0.7524  0.0030
Se  0.3351  0.4139  0.6703

Output
Energy   -72.53 eV/cell
M_tot   0.0 Bohr magnetons per cell
Formation energy without anion corrections   -1.71 eV per atom
SG   C2/m
Mass density   7.79 g/cm³


Entry from Alexandria via LeMat-Bulk: crystalline Y3ErTm3Se8 at its relaxed geometry (PBE).

Unit cell a=8.0665 b=8.0672 c=8.0815 alpha=119.94 beta=90.00 gamma=120.00
Positions (direct):
Y  0.0000  0.0000  0.0000
Y  0.0000  0.5000  0.0000
Y  0.5000  0.5000  0.0000
Er  0.0000  0.0000  0.5000
Tm  0.5000  0.0000  0.5000
Tm  0.5000  0.5000  0.5000
Tm  0.0000  0.5000  0.5000
Se  0.2520  0.5040  0.2561
Se  0.7480  0.4960  0.7439
Se  0.7471  0.4942  0.2515
Se  0.2529  0.5058  0.7485
Se  0.7474  0.0043  0.2514
Se  0.2526  0.9957  0.7486
Se  0.2569  0.0043  0.2514
Se  0.7431  0.9957  0.7486

Output
Energy   -92.37 eV/cell
M_tot   0.0 Bohr magnetons per cell
Formation energy without anion corrections   -1.81 eV per atom
SG   R-3m
Mass density   7.02 g/cm³


Entry from Alexandria via LeMat-Bulk: crystalline Y3ErTm2Se6 at its relaxed geometry (PBE).

Unit cell a=4.0405 b=8.1486 c=9.0742 alpha=103.49 beta=102.86 gamma=90.00
Positions (direct):
Y  0.5000  0.5000  0.0000
Y  0.8340  0.1671  0.6681
Y  0.1660  0.8329  0.3319
Er  0.5000  0.0000  0.0000
Tm  0.8337  0.6677  0.6675
Tm  0.1663  0.3323  0.3325
Se  0.3340  0.9127  0.6681
Se  0.6684  0.5790  0.3368
Se  0.6660  0.0873  0.3319
Se  0.0017  0.2476  0.0034
Se  0.9983  0.7524  0.9966
Se  0.3316  0.4210  0.6632

Output
Energy   -74.43 eV/cell
M_tot   0.0 Bohr magnetons per cell
Formation energy without anion corrections   -1.72 eV per atom
SG   C2/m
Mass density   7.31 g/cm³


Entry from Alexandria via LeMat-Bulk: crystalline YEr2TmSe6 at its relaxed geometry (PBE).

Unit cell a=7.1460 b=7.1461 c=7.6550 alpha=62.17 beta=62.17 gamma=59.99
Positions (direct):
Y  0.8178  0.8179  0.5463
Er  0.5139  0.5138  0.4585
Er  0.0129  0.0129  0.9614
Tm  0.3192  0.3192  0.0423
Se  0.6082  0.2241  0.2502
Se  0.2240  0.9175  0.2502
Se  0.9175  0.6083  0.2503
Se  0.4120  0.7221  0.7520
Se  0.7221  0.1139  0.7520
Se  0.1139  0.4121  0.7520

Output
Energy   -59.45 eV/cell
M_tot   0.0 Bohr magnetons per cell
Formation energy without anion corrections   -1.85 eV per atom
SG   R3
Mass density   6.21 g/cm³


Entry from Alexandria via LeMat-Bulk: crystalline Y3Er2TmSe6 at its relaxed geometry (PBE).

Unit cell a=4.0456 b=8.1536 c=9.0780 alpha=103.40 beta=102.87 gamma=90.00
Positions (direct):
Y  0.5000  0.5000  0.0000
Y  0.8328  0.1669  0.6655
Y  0.1672  0.8331  0.3345
Er  0.8329  0.6658  0.6658
Er  0.1671  0.3342  0.3342
Tm  0.5000  0.0000  0.0000
Se  0.3352  0.9143  0.6703
Se  0.6675  0.5806  0.3350
Se  0.6648  0.0857  0.3297
Se  0.0010  0.2457  0.0019
Se  0.9990  0.7543  0.9981
Se  0.3325  0.4194  0.6650

Output
Energy   -74.59 eV/cell
M_tot   0.0 Bohr magnetons per cell
Formation energy without anion corrections   -1.72 eV per atom
SG   C2/m
Mass density   7.28 g/cm³


Entry from Alexandria via LeMat-Bulk: crystalline Y2ErTm3Se6 at its relaxed geometry (PBE).

Unit cell a=4.0281 b=8.1261 c=9.0457 alpha=103.43 beta=102.86 gamma=90.00
Positions (direct):
Y  0.8325  0.6654  0.6650
Y  0.1675  0.3346  0.3350
Er  0.5000  0.0000  0.0000
Tm  0.5000  0.5000  0.0000
Tm  0.8319  0.1668  0.6639
Tm  0.1681  0.8332  0.3361
Se  0.3336  0.9216  0.6672
Se  0.6647  0.5872  0.3294
Se  0.6664  0.0784  0.3328
Se  0.9982  0.2504  0.9963
Se  0.0018  0.7496  0.0037
Se  0.3353  0.4128  0.6706

Output
Energy   -72.21 eV/cell
M_tot   0.0 Bohr magnetons per cell
Formation energy without anion corrections   -1.70 eV per atom
SG   C2/m
Mass density   7.85 g/cm³


Entry from Alexandria via LeMat-Bulk: crystalline Y3Er4TmSe8 at its relaxed geometry (PBE).

Unit cell a=8.1054 b=8.1101 c=8.1057 alpha=119.98 beta=120.00 gamma=90.00
Positions (direct):
Y  0.5000  0.5000  0.0000
Y  0.5000  0.5000  0.5000
Y  0.0000  0.5000  0.5000
Er  0.5000  0.0000  0.0000
Er  0.5000  0.0000  0.5000
Er  0.0000  0.0000  0.0000
Er  0.0000  0.0000  0.5000
Tm  0.0000  0.5000  0.0000
Se  0.2491  0.7525  0.0033
Se  0.2494  0.7529  0.4989
Se  0.2484  0.2449  0.4967
Se  0.7542  0.7525  0.0033
Se  0.2458  0.2475  0.9967
Se  0.7516  0.7551  0.5033
Se  0.7506  0.2471  0.5011
Se  0.7509  0.2475  0.9967

Output
Energy   -97.37 eV/cell
M_tot   0.0 Bohr magnetons per cell
Formation energy without anion corrections   -1.71 eV per atom
SG   R-3m
Mass density   7.65 g/cm³


Entry from Alexandria via LeMat-Bulk: crystalline ErUSe3 at its relaxed geometry (PBE).

Unit cell a=4.1030 b=7.1603 c=10.5782 alpha=90.00 beta=101.18 gamma=90.00
Positions (direct):
Er  0.8403  0.9921  0.6807
Er  0.1597  0.4921  0.3193
U  0.3382  0.4926  0.6763
U  0.6618  0.9926  0.3237
Se  0.9091  0.3218  0.8182
Se  0.0909  0.8218  0.1818
Se  0.5923  0.3271  0.1845
Se  0.4077  0.8271  0.8155
Se  0.7498  0.6605  0.4997
Se  0.2502  0.1605  0.5003

Output
Energy   -66.39 eV/cell
M_tot   6.0 Bohr magnetons per cell
Formation energy without anion corrections   -1.38 eV per atom
SG   Cmc2_1
Mass density   7.00 g/cm³


Entry from Alexandria via LeMat-Bulk: crystalline ErU3Se6 at its relaxed geometry (PBE).

Unit cell a=4.0018 b=11.9742 c=11.5351 alpha=108.55 beta=90.00 gamma=90.00
Positions (direct):
Er  0.2500  0.3089  0.9572
Er  0.7500  0.6911  0.0428
U  0.2500  0.1668  0.5742
U  0.7500  0.8332  0.4258
U  0.2500  0.5026  0.3195
U  0.7500  0.4974  0.6805
U  0.2500  0.9244  0.8509
U  0.7500  0.0756  0.1491
Se  0.2500  0.3747  0.5060
Se  0.7500  0.6253  0.4940
Se  0.2500  0.8929  0.0854
Se  0.7500  0.1071  0.9146
Se  0.2500  0.9369  0.6068
Se  0.7500  0.0631  0.3932
Se  0.2500  0.7179  0.2475
Se  0.7500  0.2821  0.7525
Se  0.2500  0.5347  0.8872
Se  0.7500  0.4653  0.1128
Se  0.2500  0.2512  0.1910
Se  0.7500  0.7488  0.8090

Output
Energy   -143.33 eV/cell
M_tot   6.1 Bohr magnetons per cell
Formation energy without anion corrections   -1.23 eV per atom
SG   P2_1/m
Mass density   8.59 g/cm³